The following is a GGA+U calculation of an optimized crystal structure of LiGa4W2O12, from Alexandria via LeMat-Bulk.

Properties
Fermi-level density of states   0.00 states/eV/cell
Spin magnetization   1.0 μB/f.u.
Raw total energy   -121.5 eV per formula unit
Crystal system   orthorhombic
Space group   Amm2

POSCAR file:
```
LiGa4W2O12
1.0
3.2921 -3.3915 0.0000
3.2921 3.3915 0.0000
0.0000 0.0000 9.2196
Li Ga W O
1 4 2 12
Direct
0.6899 0.3101 0.0000 Li
0.9921 0.0079 0.3375 Ga
0.9921 0.0079 0.6625 Ga
0.4712 0.5288 0.1789 Ga
0.4712 0.5288 0.8211 Ga
0.0253 0.9747 0.0000 W
0.4970 0.5030 0.5000 W
0.8207 0.1793 0.1659 O
0.8207 0.1793 0.8341 O
0.7960 0.2040 0.5000 O
0.3071 0.3028 0.0000 O
0.3064 0.3043 0.3418 O
0.3064 0.3043 0.6582 O
0.6957 0.6936 0.3418 O
0.6957 0.6936 0.6582 O
0.6972 0.6929 0.0000 O
0.2039 0.7961 0.5000 O
0.1958 0.8042 0.1744 O
0.1958 0.8042 0.8256 O
```